# 1
A relaxed Sr2EuGaCu2O7 crystal, computed with PBE. Values from VASP.

Geometry as Quantum ESPRESSO input:
```
&SYSTEM
  ibrav = 0, nat = 26, ntyp = 5
/
ATOMIC_SPECIES
Sr 87.62 Sr.upf
Eu 151.96 Eu.upf
Ga 69.72 Ga.upf
Cu 63.55 Cu.upf
O 16.00 O.upf
CELL_PARAMETERS angstrom
-11.689 2.774 2.715
11.689 -2.774 2.715
11.689 2.774 -2.715
ATOMIC_POSITIONS angstrom
Sr 3.559 0.098 0.000
Sr 8.130 0.098 0.000
Sr 3.559 2.676 2.715
Sr 8.130 2.676 2.715
Eu 0.000 2.774 2.701
Eu 0.000 0.000 5.416
Ga 5.844 -0.389 2.912
Ga 5.844 3.163 0.198
Cu 1.760 -0.009 2.697
Cu 9.929 -0.009 2.697
Cu 1.760 2.783 -0.018
Cu 9.929 2.783 -0.018
O 17.533 0.653 -0.613
O 4.146 2.521 -0.160
O 7.543 2.521 -0.160
O -1.590 1.384 1.339
O 13.279 1.384 1.339
O 1.526 1.398 1.347
O 10.162 1.398 1.347
O 4.146 0.253 2.555
O 7.543 0.253 2.555
O -5.844 2.121 2.102
O -1.526 4.149 1.347
O 1.526 1.376 4.062
O 1.590 4.163 1.339
O -1.590 1.390 4.054
```

Calculated volume   13.542 Å³ per atom
Space group   No. 46
E_form (uncorrected)   -1.973 eV per atom

# 2
A relaxed PmEuGaCu crystal, computed with PBE. Values from VASP.

Geometry as Quantum ESPRESSO input:
```
&SYSTEM
  ibrav = 0, nat = 4, ntyp = 4
/
ATOMIC_SPECIES
Pm 145.00 Pm.upf
Eu 151.96 Eu.upf
Ga 69.72 Ga.upf
Cu 63.55 Cu.upf
CELL_PARAMETERS angstrom
0.000 3.658 3.658
3.658 0.000 3.658
3.658 3.658 0.000
ATOMIC_POSITIONS angstrom
Pm 0.000 0.000 0.000
Eu 3.658 3.658 3.658
Ga 1.829 1.829 1.829
Cu 5.487 5.487 5.487
```

Calculated volume   24.479 Å³ per atom
Space group   No. 216
Energy of formation from the pure elements   -0.299 eV per atom

# 3
A relaxed EuPuGaCu crystal, computed with PBE. Values from VASP.

Geometry as Quantum ESPRESSO input:
```
&SYSTEM
  ibrav = 0, nat = 4, ntyp = 4
/
ATOMIC_SPECIES
Eu 151.96 Eu.upf
Pu 244.00 Pu.upf
Ga 69.72 Ga.upf
Cu 63.55 Cu.upf
CELL_PARAMETERS angstrom
0.000 3.612 3.612
3.612 0.000 3.612
3.612 3.612 0.000
ATOMIC_POSITIONS angstrom
Eu 0.000 0.000 0.000
Pu 3.612 3.612 3.612
Ga 5.419 5.419 5.419
Cu 1.806 1.806 1.806
```

Calculated volume   23.571 Å³ per atom
Space group   No. 216
Energy of formation from the pure elements   -0.095 eV per atom